[1]
Entry from Alexandria via LeMat-Bulk: a relaxed structure of CuSiW2Br (PBE).

E_form (uncorrected)   2.150 eV per atom
Mass density   9.47 Mg/m³
Calculated volume   18.9 A^3/atom

abc: 4.6861 4.6861 4.3046
angles: 90.00 90.00 90.00
With the nearest neighbours (Å) after each atom.
Fractional coordinates of all 5 atoms:
Cu (0.0000, 0.0000, 0.0000)  2 Br 2.15
Si (0.5000, 0.5000, 0.0000)  8 W 3.18, 4 Cu 3.31
W (0.0000, 0.5000, 0.5000)  2 Br 2.34
W (0.5000, 0.0000, 0.5000)  2 Br 2.34
Br (0.0000, 0.0000, 0.5000)  2 Cu 2.15, 4 W 2.34

=====

[2]
Entry from Alexandria via LeMat-Bulk: a relaxed structure of Tm2PtCl (PBE).

E_form (uncorrected)   -1.382 eV per atom
Mass density   7.76 Mg/m³
Calculated volume   30.4 A^3/atom

abc: 4.1960 4.1960 23.9353
angles: 90.00 90.00 120.00
With the nearest neighbours (Å) after each atom.
Fractional coordinates of all 12 atoms:
Tm (0.0000, 0.0000, 0.1098)  1 Cl 2.63, 3 Pt 2.78
Tm (0.0000, 0.0000, 0.8902)  1 Cl 2.63, 3 Pt 2.78
Tm (0.3333, 0.6667, 0.5568)  1 Cl 2.63, 3 Pt 2.78
Tm (0.3333, 0.6667, 0.7765)  1 Cl 2.63, 3 Pt 2.78
Tm (0.6667, 0.3333, 0.2235)  1 Cl 2.63, 3 Pt 2.78
Tm (0.6667, 0.3333, 0.4432)  1 Cl 2.63, 3 Pt 2.78
Pt (0.0000, 0.0000, 0.5000)  6 Tm 2.78
Pt (0.3333, 0.6667, 0.1667)  6 Tm 2.78
Pt (0.6667, 0.3333, 0.8333)  6 Tm 2.78
Cl (0.0000, 0.0000, 0.0000)  2 Tm 2.63
Cl (0.3333, 0.6667, 0.6667)  2 Tm 2.63
Cl (0.6667, 0.3333, 0.3333)  2 Tm 2.63

=====

Which value of E_form (uncorrected) does entry 1 give?
2.150 eV per atom